Compound: InOs2Se
Source: Alexandria
Functional: PBE-GGA
Structure: relaxed

POSCAR file:
```
InOs2Se
1.0
-1.822 -5.008 1.410
5.314 1.096 0.976
0.279 -0.121 2.886
In Os Se
1 2 1
direct
0.000 0.500 0.500
0.000 0.000 0.000
0.500 0.500 0.000
0.500 0.000 0.500
```

Symmetry: C2/m, No. 12
Spin magnetization: 0.00 μB/cell
E_tot: -6.230 eV/atom
E_form (uncorrected): 0.9402 eV per atom
Energy above the most stable polymorph in this dataset: 0.6192 eV per atom

Compound: DyPu2Tl
Source: Alexandria
Functional: PBE-GGA
Structure: relaxed

POSCAR file:
```
DyPu2Tl
1.0
-1.186 -0.158 5.065
3.731 -2.461 0.797
2.371 3.813 0.674
Tl Dy Pu
1 1 2
direct
0.500 0.000 0.000
0.500 0.500 0.500
0.000 0.000 0.500
0.000 0.500 0.000
```

Symmetry: P4/mmm, No. 123
Spin magnetization: 12.01 μB/cell
E_tot: -8.951 eV/atom
Energy of formation from the pure elements: -0.04 eV/atom
Energy above the most stable polymorph in this dataset: 0.0000 eV per atom

Compound: ZrReBr2
Source: Alexandria
Functional: PBE-GGA
Structure: relaxed

POSCAR file:
```
ZrReBr2
1.0
3.258 0.000 0.000
-1.390 2.947 0.000
0.000 0.000 9.935
Re Br Zr
1 2 1
direct
0.000 0.000 0.522
0.000 0.000 0.941
0.500 0.500 0.312
0.500 0.500 0.725
```

Symmetry: Cmm2, No. 35
Spin magnetization: 0.00 μB/cell
E_tot: -5.998 eV/atom
E_form (uncorrected): 0.0877 eV per atom
Energy above the most stable polymorph in this dataset: 0.3207 eV per atom